# LuNi3

A relaxed LuNi3 crystal (PBE, the Open Quantum Materials Database).

Output
Formation energy = -354 meV per atom
Crystal system = cubic

```
data_LuNi3
_space_group_name_H-M_alt 'P m -3 m'
_space_group_IT_number 221
_space_group_name_Hall '-P 4 2 3'
_cell_length_a 3.7763
_cell_length_b 3.7763
_cell_length_c 3.7763
_cell_angle_alpha 90.00
_cell_angle_beta 90.00
_cell_angle_gamma 90.00
loop_
_atom_site_label
_atom_site_fract_x
_atom_site_fract_y
_atom_site_fract_z
_atom_site_occupancy
Lu1 0.0000 0.0000 0.0000 1
Ni1 0.0000 0.5000 0.5000 1
```

# InCuMoOs

A relaxed InCuMoOs crystal (PBE, the Open Quantum Materials Database).

Output
Energy above the lowest structure with this stoichiometry = 0.00 eV per formula unit
Crystal system = cubic

```
data_InCuMoOs
_space_group_name_H-M_alt 'F -4 3 m'
_space_group_IT_number 216
_space_group_name_Hall 'F -4 2 3'
_cell_length_a 6.3025
_cell_length_b 6.3025
_cell_length_c 6.3025
_cell_angle_alpha 90.00
_cell_angle_beta 90.00
_cell_angle_gamma 90.00
loop_
_atom_site_label
_atom_site_fract_x
_atom_site_fract_y
_atom_site_fract_z
_atom_site_occupancy
In1 0.0000 0.0000 0.0000 1
Cu1 0.2500 0.2500 0.2500 1
Mo1 0.0000 0.0000 0.5000 1
Os1 0.2500 0.2500 0.7500 1
```

- What is the formula in the second record?
  InCuMoOs

- Number 1 is which compound?
  LuNi3

- What is the formula in the first record?
  LuNi3